# 1
CoBSbAu | the Open Quantum Materials Database | GGA-PBE | relaxed; final energy = -4.3251 eV/atom
1.0
2.058 -3.336 -2.005
-2.211 -2.594 -2.787
0.826 0.201 -4.320
Sb B Au Co
1 1 1 1
direct
0.250 0.250 0.250
0.500 0.500 0.500
0.750 0.750 0.750
0.000 0.000 0.000

***

# 2
Er3Co2Sn3Ir | the Open Quantum Materials Database | GGA-PBE | relaxed; final energy = -5.9998 eV/atom
1.0
-3.104 -5.524 3.723
7.313 0.725 -0.081
-0.186 2.229 3.152
Er Sn Co Ir
3 3 2 1
direct
0.000 0.404 0.500
0.596 0.596 0.500
0.404 0.000 0.500
0.000 0.730 0.000
0.730 0.000 0.000
0.270 0.270 0.000
0.333 0.667 0.000
0.667 0.333 0.000
0.000 0.000 0.500

***

# 3
BaLaZnS3 | the Open Quantum Materials Database | GGA-PBE | relaxed; final energy = -5.0016 eV/atom
1.0
1.739 6.811 0.875
-4.160 -5.255 2.294
7.634 -2.880 7.245
La S Ba Zn
2 6 2 2
direct
0.500 0.500 0.500
0.500 0.500 0.000
0.566 0.434 0.250
0.136 0.864 0.920
0.136 0.864 0.580
0.434 0.566 0.750
0.864 0.136 0.420
0.864 0.136 0.080
0.246 0.754 0.250
0.754 0.246 0.750
0.976 0.024 0.250
0.024 0.976 0.750

***

# 4
SmTeAs | the Open Quantum Materials Database | GGA-PBE | relaxed; final energy = -4.9009 eV/atom
1.0
8.290 0.000 0.000
-4.145 7.180 0.000
0.000 0.000 3.875
As Te Sm
3 3 3
direct
0.000 0.000 0.500
0.333 0.667 0.000
0.667 0.333 0.000
0.721 0.721 0.000
0.000 0.279 0.000
0.279 0.000 0.000
0.388 0.388 0.500
0.612 0.000 0.500
0.000 0.612 0.500

***

# 5
LiCuPbS3 | the Open Quantum Materials Database | GGA-PBE | relaxed; final energy = -3.9758 eV/atom
1.0
-3.986 4.420 0.518
-5.190 1.502 2.550
5.465 3.893 8.829
S Pb Li Cu
6 2 2 2
direct
0.586 0.586 0.750
0.840 0.840 0.908
0.160 0.160 0.092
0.160 0.160 0.408
0.414 0.414 0.250
0.840 0.840 0.592
0.500 0.500 0.000
0.500 0.500 0.500
0.745 0.745 0.250
0.255 0.255 0.750
0.969 0.969 0.750
0.031 0.031 0.250

***

# 6
AcErPt | the Open Quantum Materials Database | GGA-PBE | relaxed; calculated formation energy = -0.21 eV/f.u.
1.0
-0.510 -3.014 3.856
-4.398 -1.951 1.033
-0.791 -4.803 -0.719
Ac Pt Er
1 1 1
direct
0.250 0.250 0.250
0.750 0.750 0.750
0.000 0.000 0.000

***

# 7
Cd3S2F2 | the Open Quantum Materials Database | GGA-PBE | relaxed; final energy = -3.3096 eV/atom
1.0
-4.045 4.045 4.045
4.045 -4.045 4.045
4.045 4.045 -4.045
S F Cd
4 4 6
direct
0.923 0.500 0.000
0.500 0.000 0.923
0.577 0.577 0.577
0.000 0.923 0.500
0.452 0.500 0.000
0.000 0.452 0.500
0.048 0.048 0.048
0.500 0.000 0.452
0.250 0.632 0.382
0.118 0.750 0.868
0.632 0.382 0.250
0.868 0.118 0.750
0.750 0.868 0.118
0.382 0.250 0.632

***

# 8
LiYCuBi | the Open Quantum Materials Database | GGA-PBE | relaxed; final energy = -4.2543 eV/atom
1.0
4.830 0.149 0.652
2.031 -2.387 3.734
2.696 -3.978 -0.826
Bi Li Cu Y
1 1 1 1
direct
0.000 0.000 0.000
0.750 0.750 0.750
0.250 0.250 0.250
0.500 0.500 0.500

***

# 9
ZrGaFeMo | the Open Quantum Materials Database | GGA-PBE | relaxed; final energy = -7.6417 eV/atom
1.0
0.000 3.162 3.162
3.162 0.000 3.162
3.162 3.162 0.000
Zr Ga Mo Fe
1 1 1 1
direct
0.500 0.500 0.500
0.000 0.000 0.000
0.250 0.250 0.250
0.750 0.750 0.750

***

# 10
PmBe | the Open Quantum Materials Database | GGA-PBE | relaxed; final energy = -3.0437 eV/atom
1.0
0.000 3.156 3.156
3.156 0.000 3.156
3.156 3.156 0.000
Pm Be
1 1
direct
0.250 0.250 0.250
0.000 0.000 0.000

***

# 11
GdLuCSe | the Open Quantum Materials Database | GGA-PBE | relaxed; final energy = -6.6176 eV/atom
1.0
-2.108 2.332 2.015
1.862 -2.763 1.686
10.382 7.984 1.619
Lu Gd C Se
2 2 2 2
direct
0.667 0.333 0.596
0.333 0.667 0.404
0.667 0.333 0.896
0.333 0.667 0.104
0.000 0.000 0.000
0.000 0.000 0.500
0.667 0.333 0.258
0.333 0.667 0.742

***

# 12
ErZnNi | the Open Quantum Materials Database | GGA-PBE | relaxed; calculated formation energy = -0.43 eV/f.u.
1.0
-0.745 -2.491 3.870
-1.120 -1.772 -4.165
5.184 -2.236 -0.442
Er Ni Zn
2 2 2
direct
0.333 0.667 0.750
0.667 0.333 0.250
0.000 0.000 0.000
0.000 0.000 0.500
0.667 0.333 0.750
0.333 0.667 0.250

***

# 13
Cu3Ag | the Open Quantum Materials Database | GGA-PBE | relaxed; calculated formation energy = 0.38 eV/f.u.
1.0
4.615 -16.663 0.591
6.430 -15.878 2.417
3.940 -16.540 3.193
Cu Ag
6 2
direct
0.186 0.186 0.186
0.314 0.314 0.314
0.814 0.814 0.814
0.059 0.059 0.059
0.941 0.941 0.941
0.686 0.686 0.686
0.563 0.563 0.563
0.437 0.437 0.437

***

# 14
DyPd2O4 | the Open Quantum Materials Database | GGA-PBE | relaxed; final energy = -6.1498 eV/atom
1.0
-2.263 -4.069 4.477
-2.144 6.090 -0.209
-1.672 -4.173 -4.638
O Dy Pd
8 2 4
direct
0.136 0.273 0.409
0.136 0.727 0.863
0.613 0.227 0.386
0.614 0.227 0.841
0.159 0.773 0.386
0.614 0.773 0.387
0.591 0.727 0.864
0.137 0.273 0.864
0.000 0.000 0.000
0.750 0.500 0.250
0.375 0.250 0.625
0.375 0.750 0.125
0.375 0.750 0.625
0.875 0.250 0.625

***

# 15
Er2Ag | the Open Quantum Materials Database | GGA-PBE | relaxed; calculated formation energy = 0.07 eV/f.u.
1.0
-3.336 -3.285 -1.609
-4.697 0.287 1.538
-3.552 1.417 -3.145
Ag Er
1 2
direct
0.000 0.000 0.000
0.750 0.750 0.750
0.250 0.250 0.250

***

# 16
Sc4Mo2P3C3 | the Open Quantum Materials Database | GGA-PBE | relaxed; final energy = -8.3088 eV/atom
1.0
-3.554 4.426 -0.445
-3.056 1.621 4.523
11.116 5.460 1.967
P Sc C Mo
6 8 6 4
direct
0.414 0.289 0.750
0.874 0.126 0.250
0.586 0.711 0.250
0.289 0.414 0.250
0.126 0.874 0.750
0.711 0.586 0.750
0.701 0.878 0.608
0.122 0.299 0.892
0.878 0.701 0.108
0.299 0.122 0.392
0.805 0.959 0.893
0.959 0.805 0.393
0.195 0.041 0.107
0.041 0.195 0.607
0.819 0.341 0.000
0.500 0.000 0.000
0.341 0.819 0.500
0.659 0.181 0.500
0.181 0.659 0.000
0.000 0.500 0.500
0.527 0.353 0.085
0.647 0.473 0.415
0.473 0.647 0.915
0.353 0.527 0.585

***

# 17
LaTmAg2 | the Open Quantum Materials Database | GGA-PBE | relaxed; calculated formation energy = -1.24 eV/f.u.
1.0
3.622 0.000 0.000
0.000 3.622 0.000
0.000 0.000 7.619
Ag Tm La
2 1 1
direct
0.500 0.500 0.219
0.500 0.500 0.781
0.000 0.000 0.000
0.000 0.000 0.500

***

# 18
Li2Mg2In2IrPd | the Open Quantum Materials Database | GGA-PBE | relaxed; final energy = -3.7692 eV/atom
1.0
4.577 0.000 0.000
0.000 4.577 0.000
0.000 0.000 6.456
Ir In Li Mg Pd
1 2 2 2 1
direct
0.500 0.500 0.000
0.000 0.500 0.755
0.500 0.000 0.245
0.500 0.500 0.500
0.000 0.000 0.000
0.000 0.500 0.246
0.500 0.000 0.754
0.000 0.000 0.500

***

# 19
RbPuTlSe3 | the Open Quantum Materials Database | GGA-PBE | relaxed; final energy = -5.6747 eV/atom
1.0
-4.018 3.927 -6.553
2.297 -7.109 4.323
-10.144 0.795 6.697
Se Tl Pu Rb
6 2 2 2
direct
0.391 0.609 0.999
0.000 0.000 0.250
0.609 0.391 0.499
0.609 0.391 0.001
0.391 0.609 0.501
0.000 0.000 0.750
0.374 0.626 0.250
0.626 0.374 0.750
0.000 0.000 0.000
0.000 0.000 0.500
0.677 0.323 0.250
0.323 0.677 0.750

***

# 20
PuZnGe | the Open Quantum Materials Database | GGA-PBE | relaxed; final energy = -6.5205 eV/atom
1.0
0.000 3.262 3.262
3.262 0.000 3.262
3.262 3.262 0.000
Zn Ge Pu
1 1 1
direct
0.500 0.500 0.500
0.000 0.000 0.000
0.250 0.250 0.250

***

# 21
TlAgPbSe3 | the Open Quantum Materials Database | GGA-PBE | relaxed; final energy = -3.3877 eV/atom
1.0
-1.218 -3.623 1.348
5.389 -2.663 3.802
-4.209 4.915 9.408
Se Ag Pb Tl
6 2 2 2
direct
0.652 0.696 0.069
0.348 0.304 0.569
0.348 0.304 0.931
0.898 0.204 0.250
0.652 0.696 0.431
0.102 0.796 0.750
0.526 0.948 0.250
0.474 0.052 0.750
0.000 0.000 0.000
0.000 0.000 0.500
0.235 0.530 0.250
0.765 0.470 0.750

***

# 22
MgPtPb | the Open Quantum Materials Database | GGA-PBE | relaxed; final energy = -3.8642 eV/atom
1.0
5.314 0.000 0.000
0.000 5.314 0.000
0.000 0.000 5.274
Pb Pt Mg
2 2 2
direct
0.500 0.000 0.664
0.000 0.500 0.336
0.500 0.500 0.500
0.000 0.000 0.500
0.500 0.500 0.000
0.000 0.000 0.000

***

# 23
PmSnH | the Open Quantum Materials Database | GGA-PBE | relaxed; final energy = -4.6888 eV/atom
1.0
4.288 0.000 0.000
0.000 4.393 0.000
-2.137 0.000 6.199
Sn H Pm
2 2 2
direct
0.425 0.250 0.854
0.575 0.750 0.146
0.255 0.750 0.509
0.745 0.250 0.491
0.842 0.750 0.686
0.158 0.250 0.314

***

# 24
NaCdIr | the Open Quantum Materials Database | GGA-PBE | relaxed; final energy = -3.0231 eV/atom
1.0
-4.459 0.706 0.452
-1.822 3.932 -1.343
-2.660 0.130 -3.673
Ir Cd Na
1 1 1
direct
0.250 0.250 0.250
0.000 0.000 0.000
0.750 0.750 0.750

***

# 25
CdAs | the Open Quantum Materials Database | GGA-PBE | relaxed; final energy = -2.7030 eV/atom
1.0
5.486 0.000 0.000
0.000 3.841 0.000
0.000 0.000 8.304
As Cd
4 4
direct
0.250 0.000 0.214
0.750 0.500 0.993
0.750 0.000 0.786
0.250 0.500 0.007
0.750 0.000 0.267
0.500 0.500 0.500
0.250 0.000 0.733
0.000 0.500 0.500